1.
Compound: CdHgGe2
Source: Alexandria
Functional: PBE
Structure: optimized geometry

Lattice parameters (Å, degrees): 4.9852 4.9852 4.9852 60.00 60.00 60.00
Sites, in units of the cell vectors:
Ge 0.2500 0.2500 0.2500
Ge 0.7500 0.7500 0.7500
Hg 0.5000 0.5000 0.5000
Cd 0.0000 0.0000 0.0000

Calculated values
The total DFT energy (no corrections) comes out at -2.3090 eV/atom. Its volume is 21.90 Å³ per atom. The value obtained for the formation energy is 0.30 eV/atom.

---

2.
Compound: Cd2HgGeI
Source: Alexandria
Functional: PBE
Structure: optimized geometry

Lattice parameters (Å, degrees): 5.3850 5.3850 5.3456 90.00 90.00 90.00
Sites, in units of the cell vectors:
I 0.5000 0.5000 0.5000
Ge 0.0000 0.0000 0.0000
Hg 0.0000 0.0000 0.5000
Cd 0.0000 0.5000 0.0000
Cd 0.5000 0.0000 0.0000

Calculated values
The total DFT energy (no corrections) comes out at -1.6936 eV/atom. Its volume is 31.00 Å³ per atom. The calculation puts the uncorrected formation energy at -34 meV per atom.

---

3.
Compound: Cd2HgGeI
Source: Alexandria
Functional: PBE
Structure: optimized geometry

Lattice parameters (Å, degrees): 5.3611 5.9663 5.3611 90.00 90.00 90.00
Sites, in units of the cell vectors:
I 0.0000 0.5000 0.0000
Ge 0.0000 0.0000 0.0000
Hg 0.5000 0.5000 0.5000
Cd 0.0000 0.0000 0.5000
Cd 0.5000 0.0000 0.0000

Calculated values
The total DFT energy (no corrections) comes out at -1.5717 eV/atom. Its volume is 34.30 Å³ per atom. The calculation puts the uncorrected formation energy at 88 meV per atom.

---

4.
Compound: CdInHgGe
Source: Alexandria
Functional: PBE
Structure: optimized geometry

Lattice parameters (Å, degrees): 5.1222 5.1222 5.1222 60.00 60.00 60.00
Sites, in units of the cell vectors:
Ge 0.7500 0.7500 0.7500
Cd 0.0000 0.0000 0.0000
Hg 0.2500 0.2500 0.2500
In 0.5000 0.5000 0.5000

Calculated values
The total DFT energy (no corrections) comes out at -1.9622 eV/atom. Its volume is 23.76 Å³ per atom. The value obtained for the formation energy is 0.18 eV/atom.

---

5.
Compound: La2CdHgGe
Source: Alexandria
Functional: PBE
Structure: optimized geometry

Lattice parameters (Å, degrees): 4.4794 4.4794 14.7548 90.00 90.00 90.00
Sites, in units of the cell vectors:
La 0.0000 0.5000 0.6931
La 0.0000 0.5000 0.1035
La 0.5000 0.0000 0.8965
La 0.5000 0.0000 0.3069
Cd 0.0000 0.0000 0.5000
Cd 0.5000 0.5000 0.5000
Hg 0.5000 0.0000 0.6418
Hg 0.0000 0.5000 0.3582
Ge 0.5000 0.0000 0.1075
Ge 0.0000 0.5000 0.8925

Calculated values
The total DFT energy (no corrections) comes out at -3.6688 eV/atom. Its volume is 29.61 Å³ per atom. The value obtained for the formation energy is -0.53 eV/atom.

---

6.
Compound: LaCdHgGe
Source: Alexandria
Functional: PBE
Structure: optimized geometry

Lattice parameters (Å, degrees): 5.2061 5.2061 5.2061 60.00 60.00 60.00
Sites, in units of the cell vectors:
Ge 0.2500 0.2500 0.2500
Cd 0.5000 0.5000 0.5000
Hg 0.7500 0.7500 0.7500
La 0.0000 0.0000 0.0000

Calculated values
The total DFT energy (no corrections) comes out at -3.0699 eV/atom. Its volume is 24.94 Å³ per atom. The value obtained for the formation energy is -0.38 eV/atom.

---

> The highest total DFT energy (no corrections) belongs to which entry?

number 3

---

> Number 1 is which compound?

CdHgGe2

---

> The highest total DFT energy (no corrections) belongs to which entry?

number 3

---

> The highest total DFT energy (no corrections) belongs to which entry?

number 3